(1)
Density functional theory data (PBE) for an optimized crystal structure of SmSc5Se6.

Results
M_tot in μB/f.u.: 0.00
Calculated volume in Å³/cell: 256.95
Total DFT energy (no corrections) in eV/f.u.: -76.71
ΔE_f (raw) in eV/atom: -1.62

a = 6.805 Å, b = 6.805 Å, c = 6.808 Å
α = 99.53°, β = 99.53°, γ = 120.22°
Atoms (fractional coordinates):
Se1 0.564 0.914 0.740
Se2 0.264 0.264 0.747
Se3 0.736 0.736 0.253
Se4 0.436 0.086 0.260
Se5 0.086 0.436 0.260
Se6 0.914 0.564 0.740
Sc1 0.155 0.845 0.500
Sc2 0.845 0.155 0.500
Sc3 0.500 0.500 0.500
Sc4 0.664 0.336 0.000
Sc5 0.336 0.664 0.000
Sm1 0.000 0.000 0.000

=====

(2)
Density functional theory data (PBE) for an optimized crystal structure of ThH2F8.

Results
M_tot in μB/f.u.: 2.00
Calculated volume in Å³/cell: 136.44
Total DFT energy (no corrections) in eV/f.u.: -54.67

a = 5.714 Å, b = 6.094 Å, c = 6.094 Å
α = 46.93°, β = 64.16°, γ = 64.16°
Each line ends with the local moment (μB).
Atoms (fractional coordinates):
F1 0.782 0.093 0.688  0.46
F2 0.378 0.800 0.800  0.00
F3 0.782 0.688 0.093  0.46
F4 0.218 0.312 0.907  0.46
F5 0.787 0.604 0.604  0.01
F6 0.622 0.200 0.200  0.00
F7 0.213 0.396 0.396  0.01
F8 0.218 0.907 0.312  0.46
H1 0.400 0.306 0.306  0.00
H2 0.600 0.694 0.694  0.00
Th1 0.000 0.000 0.000  -0.04

=====

(3)
Density functional theory data (PBE) for an optimized crystal structure of La2Tb6Th3.

Results
Energy of formation from the pure elements in meV/atom: 150
M_tot in μB/f.u.: 0.00
Calculated volume in Å³/cell: 381.95
Total DFT energy (no corrections) in eV/f.u.: -58.25

a = 6.147 Å, b = 6.239 Å, c = 12.801 Å
α = 77.25°, β = 63.39°, γ = 60.48°
Atoms (fractional coordinates):
Tb1 0.226 0.328 0.754
Tb2 0.113 0.000 0.238
Tb3 0.887 0.000 0.762
Tb4 0.774 0.672 0.246
Tb5 0.446 0.328 0.246
Tb6 0.554 0.672 0.754
Th1 0.668 0.664 0.000
Th2 0.332 0.336 0.000
Th3 0.000 0.000 0.000
La1 0.153 0.693 0.500
La2 0.847 0.307 0.500

=====

(4)
Density functional theory data (PBE) for an optimized crystal structure of Zn2SiAg.

Results
M_tot in μB/f.u.: 0.00
Calculated volume in Å³/cell: 66.10
Total DFT energy (no corrections) in eV/f.u.: -9.73
ΔE_f (raw) in eV/atom: 0.27

a = 4.538 Å, b = 4.538 Å, c = 4.538 Å
α = 60.00°, β = 60.00°, γ = 60.00°
Atoms (fractional coordinates):
Ag1 0.500 0.500 0.500
Zn1 0.000 0.000 0.000
Zn2 0.250 0.250 0.250
Si1 0.750 0.750 0.750